1.
Compound: LaZnGe2
Source: Alexandria via LeMat-Bulk
Functional: PBE
Structure: relaxed

Summary:
As for the calculated total energy: -34.48 eV for the cell shown.

a = 6.033 Å, b = 6.025 Å, c = 5.951 Å
α = 90.00°, β = 120.38°, γ = 90.00°
Space group C2 (No. 5)
Unique sites:
La: 0.000 0.000 0.000 x2
Zn: 0.000 0.749 0.500 x2
Ge: 0.125 0.502 0.243 x4

2.
Compound: LaZn2Ge
Source: Alexandria via LeMat-Bulk
Functional: PBE
Structure: relaxed

Summary:
As for the calculated total energy: -32.20 eV for the cell shown.

a = 3.1374 Å, b = 3.1374 Å, c = 31.5771 Å
α = 90.00°, β = 90.00°, γ = 120.00°
Space group R-3m (No. 166, hexagonal axes)
Unique sites:
La: 0.0000 0.0000 0.0000 x3
Zn: 0.0000 0.0000 0.0988 x6
Ge: 0.0000 0.0000 0.5000 x3

3.
Compound: LaZn2Ge
Source: Alexandria via LeMat-Bulk
Functional: PBE
Structure: relaxed

Summary:
As for the calculated total energy: -26.17 eV for the cell shown.

a = 4.297 Å, b = 5.872 Å, c = 7.180 Å
α = 90.00°, β = 90.00°, γ = 90.00°
Space group Amm2 (No. 38)
Unique sites:
La: 0.000 0.000 0.000 x2
Zn: 0.000 0.000 0.493 x2
Zn: 0.500 0.000 0.678 x2
Ge: 0.500 0.000 0.302 x2

4.
Compound: LaZn2Ge2
Source: Alexandria via LeMat-Bulk
Functional: PBE
Structure: relaxed

Summary:
As for the calculated total energy: -34.91 eV for the cell shown.

a = 7.913 Å, b = 7.913 Å, c = 3.283 Å
α = 90.00°, β = 90.00°, γ = 90.00°
Space group P4/mbm (No. 127)
Unique sites:
La: 0.000 0.000 0.000 x2
Zn: 0.150 0.350 0.500 x4
Ge: 0.135 0.635 0.000 x4

5.
Compound: La2Zn2Ge
Source: Alexandria via LeMat-Bulk
Functional: PBE
Structure: relaxed

Summary:
As for the calculated total energy: -77.80 eV for the cell shown. The excess energy over the best structure of this formula in the dataset comes out at 2.9 kJ/mol of atoms.

a = 11.116 Å, b = 4.598 Å, c = 10.279 Å
α = 90.00°, β = 114.06°, γ = 90.00°
Space group C2/m (No. 12)
Unique sites:
La: 0.087 0.000 0.368 x4
La: 0.179 0.000 0.055 x4
Zn: 0.011 0.500 0.134 x4
Zn: 0.103 0.500 0.625 x4
Ge: 0.238 0.000 0.706 x4

6.
Compound: LaZn6Ge2
Source: Alexandria via LeMat-Bulk
Functional: PBE
Structure: relaxed

Summary:
As for the calculated total energy: -23.89 eV for the cell shown.

a = 4.126 Å, b = 4.126 Å, c = 9.455 Å
α = 90.00°, β = 90.00°, γ = 90.00°
Space group P4/mmm (No. 123)
Unique sites:
La: 0.000 0.000 0.000 x1
Zn: 0.000 0.000 0.500 x1
Zn: 0.000 0.500 0.310 x4
Zn: 0.500 0.500 0.500 x1
Ge: 0.500 0.500 0.140 x2

7.
Compound: La4ZnGe3
Source: Alexandria via LeMat-Bulk
Functional: PBE
Structure: relaxed

Summary:
As for the calculated total energy: -40.51 eV for the cell shown.

a = 4.197 Å, b = 4.540 Å, c = 11.477 Å
α = 90.00°, β = 90.00°, γ = 90.00°
Space group Pmm2 (No. 25)
Unique sites:
La: 0.000 0.000 0.000 x1
La: 0.000 0.500 0.498 x1
La: 0.500 0.000 0.277 x1
La: 0.500 0.500 0.779 x1
Zn: 0.500 0.000 0.572 x1
Ge: 0.000 0.000 0.713 x1
Ge: 0.000 0.500 0.214 x1
Ge: 0.500 0.500 0.062 x1

8.
Compound: LaZnGe4
Source: Alexandria via LeMat-Bulk
Functional: PBE
Structure: relaxed

Summary:
As for the calculated total energy: -103.57 eV for the cell shown.

a = 7.970 Å, b = 7.970 Å, c = 7.970 Å
α = 90.00°, β = 90.00°, γ = 90.00°
Space group F-43m (No. 216)
Unique sites:
La: 0.000 0.000 0.000 x4
Zn: 0.250 0.250 0.250 x4
Ge: 0.125 0.125 0.625 x16

9.
Compound: LaZn3Ge2
Source: Alexandria via LeMat-Bulk
Functional: PBE
Structure: relaxed

Summary:
As for the calculated total energy: -79.73 eV for the cell shown.

a = 16.279 Å, b = 4.215 Å, c = 7.733 Å
α = 90.00°, β = 117.25°, γ = 90.00°
Space group C2/m (No. 12)
Unique sites:
La: 0.143 0.000 0.055 x4
Zn: 0.045 0.000 0.394 x4
Zn: 0.101 0.500 0.684 x4
Zn: 0.189 0.500 0.455 x4
Ge: 0.018 0.500 0.182 x4
Ge: 0.205 0.000 0.711 x4

10.
Compound: La2Zn5Ge3
Source: Alexandria via LeMat-Bulk
Functional: PBE
Structure: relaxed

Summary:
As for the calculated total energy: -139.47 eV for the cell shown. The excess energy over the best structure of this formula in the dataset comes out at 0.0 kJ/mol of atoms.

a = 10.463 Å, b = 12.450 Å, c = 6.096 Å
α = 90.00°, β = 90.00°, γ = 90.00°
Space group Ibam (No. 72)
Unique sites:
La: 0.237 0.124 0.000 x8
Zn: 0.000 0.269 0.250 x8
Zn: 0.000 0.500 0.250 x4
Zn: 0.117 0.138 0.500 x8
Ge: 0.000 0.000 0.250 x4
Ge: 0.146 0.383 0.000 x8

11.
Compound: LaZn2Ge
Source: Alexandria via LeMat-Bulk
Functional: PBE
Structure: relaxed

Summary:
As for the calculated total energy: -27.31 eV for the cell shown.

a = 4.167 Å, b = 4.167 Å, c = 10.049 Å
α = 90.00°, β = 90.00°, γ = 90.00°
Space group P4/nmm (No. 129, origin choice 2)
Unique sites:
La: 0.250 0.250 0.232 x2
Zn: 0.250 0.250 0.932 x2
Zn: 0.250 0.750 0.500 x2
Ge: 0.250 0.250 0.661 x2

12.
Compound: LaZn3Ge
Source: Alexandria via LeMat-Bulk
Functional: PBE
Structure: relaxed

Summary:
As for the calculated total energy: -12.93 eV for the cell shown. The excess energy over the best structure of this formula in the dataset comes out at 53.9 kJ/mol of atoms.

a = 4.896 Å, b = 4.896 Å, c = 4.896 Å
α = 90.00°, β = 90.00°, γ = 90.00°
Space group Pm-3m (No. 221)
Unique sites:
La: 0.000 0.000 0.000 x1
Zn: 0.000 0.500 0.500 x3
Ge: 0.500 0.500 0.500 x1